1.
Below is a geometry-optimized Pr6Co2Ge structure, with properties calculated at the GGA-PBE level.

Calculated values
Energy: -5.47 eV per atom
Density: 7.0 Mg/m³

Cell lengths 9.577, 10.046, 10.272 Å; angles 90.00, 90.00, 90.00 degrees
Space group Immm (No. 71)
One atom of each set of equivalent atoms:
1 Pr 0.000 0.194 0.235 x8
2 Pr 0.185 0.500 0.174 x8
3 Pr 0.218 0.319 0.500 x8
4 Co 0.000 0.345 0.000 x4
5 Co 0.000 0.500 0.390 x4
6 Ge 0.000 0.000 0.000 x2
7 Ge 0.000 0.000 0.500 x2

***

2.
Below is a geometry-optimized Pr2CoGe3Pt4 structure, with properties calculated at the GGA-PBE level.

Calculated values
Energy: -6.28 eV per atom
Density: 11.6 Mg/m³

Cell lengths 4.350, 4.350, 10.118 Å; angles 90.00, 90.00, 90.00 degrees
Space group P-4m2 (No. 115)
One atom of each set of equivalent atoms:
1 Pr 0.000 0.500 0.243 x2
2 Co 0.500 0.500 0.000 x1
3 Ge 0.000 0.000 0.000 x1
4 Ge 0.000 0.500 0.632 x2
5 Pt 0.000 0.000 0.500 x1
6 Pt 0.000 0.500 0.876 x2
7 Pt 0.500 0.500 0.500 x1

***

3.
Below is a geometry-optimized PrCoGe2Rh structure, with properties calculated at the GGA-PBE level.

Calculated values
Energy: -6.41 eV per atom
Density: 8.4 Mg/m³

Cell lengths 4.107, 4.107, 10.550 Å; angles 90.00, 90.00, 90.00 degrees
Space group I-4m2 (No. 119)
One atom of each set of equivalent atoms:
1 Pr 0.000 0.000 0.000 x2
2 Co 0.000 0.500 0.250 x2
3 Ge 0.000 0.000 0.372 x4
4 Rh 0.000 0.500 0.750 x2

***

4.
Below is a geometry-optimized PrCoGe3Ru structure, with properties calculated at the GGA-PBE level.

Calculated values
Energy: -6.12 eV per atom
Density: 7.2 Mg/m³

Cell lengths 6.586, 11.781, 6.140 Å; angles 90.00, 90.00, 90.00 degrees
Space group Cmcm (No. 63)
One atom of each set of equivalent atoms:
1 Pr 0.000 0.241 0.250 x4
2 Co 0.000 0.414 0.750 x4
3 Ge 0.000 0.231 0.750 x4
4 Ge 0.213 0.500 0.000 x8
5 Ru 0.000 0.034 0.750 x4

***

5.
Below is a geometry-optimized PrScCoGe2 structure, with properties calculated at the GGA-PBE level.

Calculated values
Energy: -6.12 eV per atom
Density: 6.6 Mg/m³

Cell lengths 4.146, 4.146, 11.449 Å; angles 90.00, 90.00, 90.00 degrees
Space group I-4m2 (No. 119)
One atom of each set of equivalent atoms:
1 Pr 0.000 0.000 0.000 x2
2 Sc 0.000 0.500 0.250 x2
3 Co 0.000 0.500 0.750 x2
4 Ge 0.000 0.000 0.388 x4

***

6.
Below is a geometry-optimized PrCoTcGe2 structure, with properties calculated at the GGA-PBE level.

Calculated values
Energy: -6.79 eV per atom
Density: 8.1 Mg/m³

Cell lengths 4.216, 4.216, 10.239 Å; angles 90.00, 90.00, 90.00 degrees
Space group I-4m2 (No. 119)
One atom of each set of equivalent atoms:
1 Pr 0.000 0.000 0.000 x2
2 Co 0.000 0.500 0.750 x2
3 Tc 0.000 0.500 0.250 x2
4 Ge 0.000 0.000 0.367 x4

***

Repeat the fifth record exactly.
Below is a geometry-optimized PrScCoGe2 structure, with properties calculated at the GGA-PBE level.

Calculated values
Energy: -6.12 eV per atom
Density: 6.6 Mg/m³

Cell lengths 4.146, 4.146, 11.449 Å; angles 90.00, 90.00, 90.00 degrees
Space group I-4m2 (No. 119)
One atom of each set of equivalent atoms:
1 Pr 0.000 0.000 0.000 x2
2 Sc 0.000 0.500 0.250 x2
3 Co 0.000 0.500 0.750 x2
4 Ge 0.000 0.000 0.388 x4

***

Please write out number 5 again, unchanged.
Below is a geometry-optimized PrScCoGe2 structure, with properties calculated at the GGA-PBE level.

Calculated values
Energy: -6.12 eV per atom
Density: 6.6 Mg/m³

Cell lengths 4.146, 4.146, 11.449 Å; angles 90.00, 90.00, 90.00 degrees
Space group I-4m2 (No. 119)
One atom of each set of equivalent atoms:
1 Pr 0.000 0.000 0.000 x2
2 Sc 0.000 0.500 0.250 x2
3 Co 0.000 0.500 0.750 x2
4 Ge 0.000 0.000 0.388 x4

***

Q: Among the records above, which one has the highest energy?
A: Pr6Co2Ge

***

Q: Number 2 is which compound?
A: Pr2CoGe3Pt4